Entry 1:
# PaGaIr2

A relaxed PaGaIr2 crystal (PBE, the Alexandria database).

Calculated values
Total magnetic moment   0.0 μB/cell
SG   No. 59
Energy   -8.26 eV/atom
Formation enthalpy at 0 K   -0.696 eV per atom

Lattice parameters (Å, degrees): 4.358 5.736 5.903 90.00 90.00 90.00
Atoms (fractional coordinates):
Ir 0.500 0.315 0.756
Ir 0.500 0.315 0.244
Ir 0.000 0.685 0.744
Ir 0.000 0.685 0.256
Pa 0.500 0.876 0.000
Pa 0.000 0.124 0.500
Ga 0.500 0.684 0.500
Ga 0.000 0.316 0.000

=====

Entry 2:
# Pa4Ga3Ir

A relaxed Pa4Ga3Ir crystal (PBE, the Alexandria database).

Calculated values
Total magnetic moment   0.0 μB/cell
SG   No. 25
Energy   -7.32 eV/atom
Formation enthalpy at 0 K   -0.328 eV per atom

Lattice parameters (Å, degrees): 3.981 4.096 10.983 90.00 90.00 90.00
Atoms (fractional coordinates):
Ga 0.500 0.000 0.927
Ga 0.000 0.000 0.426
Ga 0.000 0.500 0.572
Ir 0.500 0.500 0.083
Pa 0.000 0.000 0.145
Pa 0.500 0.500 0.343
Pa 0.500 0.000 0.655
Pa 0.000 0.500 0.848

=====

Entry 3:
# PaGaIr

A relaxed PaGaIr crystal (PBE, the Alexandria database).

Calculated values
Total magnetic moment   0.0 μB/cell
SG   No. 216
Energy   -7.70 eV/atom
Formation enthalpy at 0 K   -0.575 eV per atom

Lattice parameters (Å, degrees): 4.557 4.557 4.557 60.00 60.00 60.00
Atoms (fractional coordinates):
Ga 0.000 0.000 0.000
Pa 0.500 0.500 0.500
Ir 0.250 0.250 0.250

=====

Entry 4:
# PaGaIr

A relaxed PaGaIr crystal (PBE, the Alexandria database).

Calculated values
Total magnetic moment   0.0 μB/cell
SG   No. 187
Energy   -7.84 eV/atom
Formation enthalpy at 0 K   -0.709 eV per atom

Lattice parameters (Å, degrees): 3.192 4.535 4.535 120.00 90.00 90.00
Atoms (fractional coordinates):
Pa 0.667 0.667 0.333
Ir 0.167 0.333 0.667
Ga 0.166 0.000 0.000

=====

Entry 5:
# PaGaIrPd

A relaxed PaGaIrPd crystal (PBE, the Alexandria database).

Calculated values
Total magnetic moment   0.0 μB/cell
SG   No. 216
Energy   -7.23 eV/atom
Formation enthalpy at 0 K   -0.584 eV per atom

Lattice parameters (Å, degrees): 4.722 4.722 4.722 60.00 60.00 60.00
Atoms (fractional coordinates):
Ga 0.250 0.250 0.250
Pd 0.000 0.000 0.000
Pa 0.750 0.750 0.750
Ir 0.500 0.500 0.500

=====

Entry 6:
# PuPaGaIr

A relaxed PuPaGaIr crystal (PBE, the Alexandria database).

Calculated values
Total magnetic moment   6.1 μB/cell
SG   No. 38
Energy   -9.44 eV/atom
Energy above the most stable polymorph in this dataset   0.00 kcal/mol of atoms
Formation enthalpy at 0 K   -0.512 eV per atom

Lattice parameters (Å, degrees): 4.207 3.821 5.970 90.00 110.63 90.00
Atoms (fractional coordinates):
Pu 0.151 0.000 0.301
Pa 0.870 0.500 0.740
Ga 0.575 0.500 0.150
Ir 0.404 0.000 0.809